(1)
Below is a relaxed SrMnAs2 crystal, with properties calculated at the PBEsol level.

Cell: 3.910 4.661 4.661 Å, 90.00 90.00 90.00°
Positions (direct):
As: 0.000 0.500 0.000
As: 0.000 0.000 0.500
Mn: 0.500 0.500 0.500
Sr: 0.500 0.000 0.000

* total magnetic moment: 4.5 μB per formula unit

(2)
Below is a relaxed SrMn2As2 crystal, with properties calculated at the PBEsol level.

Cell: 3.945 3.945 7.260 Å, 90.00 90.00 120.00°
Positions (direct):
Mn: 0.667 0.333 0.391
Mn: 0.333 0.667 0.609
As: 0.333 0.667 0.284
As: 0.667 0.333 0.716
Sr: 0.000 0.000 0.000

* total magnetic moment: 4.7 μB per formula unit

(3)
Below is a relaxed SrMn2As crystal, with properties calculated at the PBEsol level.

Cell: 3.661 3.741 6.017 Å, 90.00 89.92 90.00°
Positions (direct):
As: 0.125 0.500 0.820
Mn: 0.125 0.000 0.067
Mn: 0.625 0.500 0.076
Sr: 0.625 0.000 0.537

* total magnetic moment: 5.5 μB per formula unit

(4)
Below is a relaxed Ta2MnAs crystal, with properties calculated at the PBEsol level.

Cell: 3.232 3.896 5.053 Å, 90.00 108.65 90.00°
Positions (direct):
Ta: 0.975 0.000 0.951
Ta: 0.283 0.500 0.565
As: 0.699 0.000 0.398
Mn: 0.540 0.500 0.080

* total magnetic moment: 0.0 μB per formula unit

E_form readings, ordered: -0.098; -0.394; 0.126; -0.202 eV/atom